# Ca2AlW, optimized geometry, DFT PBE
# M_tot ... 0.000 μB/atom
# Calculated volume ... 22.28 Å³/atom
# Final energy ... -4.55 eV per atom
data_Ca2AlW
_chemical_formula_sum 'Ca2 Al1 W1'
_symmetry_space_group_name_H-M 'P 1 2/m 1'
_symmetry_Int_Tables_number 10
_cell_length_a 3.0279
_cell_length_b 4.9285
_cell_length_c 5.9725
_cell_angle_alpha 90.00
_cell_angle_beta 91.24
_cell_angle_gamma 90.00
loop_
_symmetry_equiv_pos_as_xyz
'x,y,z'
'-x,-y,-z'
'-x,y,-z'
'x,-y,z'
loop_
_atom_site_label
_atom_site_fract_x
_atom_site_fract_y
_atom_site_fract_z
_atom_site_occupancy
Ca1 0.0008 0.0000 0.2443 1
Al1 0.5000 0.5000 0.5000 1
W1 0.5000 0.5000 0.0000 1


# Cs3Cd2AgBr9, optimized geometry, DFT PBE
# Formation energy from raw total energies ... -1.101 eV per atom
# M_tot ... 0.000 μB/atom
# Calculated volume ... 34.73 Å³/atom
data_Cs3Cd2AgBr9
_chemical_formula_sum 'Cs3 Cd2 Ag1 Br9'
_symmetry_space_group_name_H-M 'P -3 m 1'
_symmetry_Int_Tables_number 164
_symmetry_space_group_name_Hall '-P 3 2"'
_cell_length_a 7.8802
_cell_length_b 7.8802
_cell_length_c 9.6881
_cell_angle_alpha 90.00
_cell_angle_beta 90.00
_cell_angle_gamma 120.00
loop_
_atom_site_label
_atom_site_fract_x
_atom_site_fract_y
_atom_site_fract_z
_atom_site_occupancy
Cs1 0.0000 0.0000 0.0000 1
Cs2 0.3333 0.6667 0.6648 1
Cd1 0.3333 0.6667 0.1699 1
Ag1 0.0000 0.0000 0.5000 1
Br1 0.0000 0.5000 0.0000 1
Br2 0.1665 0.3331 0.3349 1


# CaCoHg2Mo, optimized geometry, DFT PBE
# M_tot ... 0.374 μB/atom
# Calculated volume ... 22.69 Å³/atom
# Final energy ... -3.66 eV per atom
data_CaCoHg2Mo
_chemical_formula_sum 'Ca1 Co1 Hg2 Mo1'
_symmetry_space_group_name_H-M 'P 4/m m m'
_symmetry_Int_Tables_number 123
_symmetry_space_group_name_Hall '-P 4 2'
_cell_length_a 5.0232
_cell_length_b 5.0232
_cell_length_c 4.4967
_cell_angle_alpha 90.00
_cell_angle_beta 90.00
_cell_angle_gamma 90.00
loop_
_atom_site_label
_atom_site_fract_x
_atom_site_fract_y
_atom_site_fract_z
_atom_site_occupancy
Ca1 0.0000 0.0000 0.0000 1
Co1 0.5000 0.5000 0.5000 1
Hg1 0.0000 0.5000 0.5000 1
Mo1 0.5000 0.5000 0.0000 1


# MnTlAu2, optimized geometry, DFT PBE
# Energy above the most stable polymorph in this dataset ... 2.59 kcal/mol of atoms
# M_tot ... 1.056 μB/atom
# Calculated volume ... 19.83 Å³/atom
data_MnTlAu2
_chemical_formula_sum 'Mn2 Tl2 Au4'
_symmetry_space_group_name_H-M 'C 1 m 1'
_symmetry_Int_Tables_number 8
_cell_length_a 9.3239
_cell_length_b 3.5608
_cell_length_c 4.9545
_cell_angle_alpha 90.00
_cell_angle_beta 105.36
_cell_angle_gamma 90.00
loop_
_symmetry_equiv_pos_as_xyz
'x,y,z'
'x,-y,z'
'x+1/2,y+1/2,z'
'x+1/2,-y+1/2,z'
loop_
_atom_site_label
_atom_site_fract_x
_atom_site_fract_y
_atom_site_fract_z
_atom_site_occupancy
Mn1 0.0000 0.0000 0.0000 1
Tl1 0.2587 0.5000 0.3055 1
Au1 0.0160 0.5000 0.5654 1
Au2 0.2678 0.0000 0.8251 1


# ZrTc2, optimized geometry, DFT PBE
# Energy above the most stable polymorph in this dataset ... 15.24 kcal/mol of atoms
# M_tot ... 0.000 μB/atom
# Calculated volume ... 19.52 Å³/atom
data_ZrTc2
_chemical_formula_sum 'Zr1 Tc2'
_symmetry_space_group_name_H-M 'P 4/m m m'
_symmetry_Int_Tables_number 123
_symmetry_space_group_name_Hall '-P 4 2'
_cell_length_a 3.5653
_cell_length_b 3.5653
_cell_length_c 4.6071
_cell_angle_alpha 90.00
_cell_angle_beta 90.00
_cell_angle_gamma 90.00
loop_
_atom_site_label
_atom_site_fract_x
_atom_site_fract_y
_atom_site_fract_z
_atom_site_occupancy
Zr1 0.0000 0.0000 0.0000 1
Tc1 0.0000 0.5000 0.5000 1


# Y8Pd2Pt, optimized geometry, DFT PBE
# Energy above the most stable polymorph in this dataset ... 2.31 kcal/mol of atoms
# M_tot ... 0.000 μB/atom
# Calculated volume ... 28.08 Å³/atom
data_Y8Pd2Pt
_chemical_formula_sum 'Y16 Pd4 Pt2'
_symmetry_space_group_name_H-M 'C 1 m 1'
_symmetry_Int_Tables_number 8
_cell_length_a 8.4237
_cell_length_b 12.9660
_cell_length_c 6.0137
_cell_angle_alpha 90.00
_cell_angle_beta 109.89
_cell_angle_gamma 90.00
loop_
_symmetry_equiv_pos_as_xyz
'x,y,z'
'x,-y,z'
'x+1/2,y+1/2,z'
'x+1/2,-y+1/2,z'
loop_
_atom_site_label
_atom_site_fract_x
_atom_site_fract_y
_atom_site_fract_z
_atom_site_occupancy
Y1 0.0000 0.0000 0.0000 1
Y2 0.0746 0.3726 0.7934 1
Y3 0.1493 0.1276 0.5839 1
Y4 0.2216 0.5000 0.3567 1
Y5 0.3627 0.2102 0.1793 1
Pd1 0.3586 0.3078 0.6752 1
Pt1 0.3599 0.0000 0.0038 1